[1]
# Rb2PdAuSe4 | Alexandria via LeMat-Bulk | PBE-GGA | relaxed
# - E: -3.485 eV per atom
# - N(E_F): 0.688 states/eV/atom
# - Total magnetization: 0.00 μB per cell
data_Rb2PdAuSe4
_chemical_formula_sum 'Rb16 Pd8 Au8 Se32'
_symmetry_space_group_name_H-M 'F d d d'
_symmetry_Int_Tables_number 70
_cell_length_a 6.0667
_cell_length_b 13.8189
_cell_length_c 22.1557
_cell_angle_alpha 90.00
_cell_angle_beta 90.00
_cell_angle_gamma 90.00
loop_
_symmetry_equiv_pos_as_xyz
'x,y,z'
'-x,-y,-z'
'-x+1/4,-y+1/4,z'
'x+1/4,y+1/4,-z'
'x,-y+1/4,-z+1/4'
'-x,y+1/4,z+1/4'
'-x+1/4,y,-z+1/4'
'x+1/4,-y,z+1/4'
'x,y+1/2,z+1/2'
'-x,-y+1/2,-z+1/2'
'-x+1/4,-y+3/4,z+1/2'
'x+1/4,y+3/4,-z+1/2'
'x,-y+3/4,-z+3/4'
'-x,y+3/4,z+3/4'
'-x+1/4,y+1/2,-z+3/4'
'x+1/4,-y+1/2,z+3/4'
'x+1/2,y,z+1/2'
'-x+1/2,-y,-z+1/2'
'-x+3/4,-y+1/4,z+1/2'
'x+3/4,y+1/4,-z+1/2'
'x+1/2,-y+1/4,-z+3/4'
'-x+1/2,y+1/4,z+3/4'
'-x+3/4,y,-z+3/4'
'x+3/4,-y,z+3/4'
'x+1/2,y+1/2,z'
'-x+1/2,-y+1/2,-z'
'-x+3/4,-y+3/4,z'
'x+3/4,y+3/4,-z'
'x+1/2,-y+3/4,-z+1/4'
'-x+1/2,y+3/4,z+1/4'
'-x+3/4,y+1/2,-z+1/4'
'x+3/4,-y+1/2,z+1/4'
loop_
_atom_site_label
_atom_site_type_symbol
_atom_site_fract_x
_atom_site_fract_y
_atom_site_fract_z
Rb1 Rb 0.1250 0.1250 0.3176
Pd1 Pd 0.1250 0.1250 0.1250
Au1 Au 0.1250 0.1250 0.6250
Se1 Se 0.1216 0.2773 0.4454

=====

[2]
# RbTePd2Au | Alexandria via LeMat-Bulk | PBE-GGA | relaxed
# - E: -2.201 eV per atom
# - N(E_F): 0.369 states/eV/atom
# - Total magnetization: 0.00 μB per cell
data_RbTePd2Au
_chemical_formula_sum 'Rb1 Te1 Pd2 Au1'
_symmetry_space_group_name_H-M 'P 4/m m m'
_symmetry_Int_Tables_number 123
_symmetry_space_group_name_Hall '-P 4 2'
_cell_length_a 4.9826
_cell_length_b 4.9826
_cell_length_c 6.5021
_cell_angle_alpha 90.00
_cell_angle_beta 90.00
_cell_angle_gamma 90.00
loop_
_atom_site_label
_atom_site_type_symbol
_atom_site_fract_x
_atom_site_fract_y
_atom_site_fract_z
Rb1 Rb 0.0000 0.0000 0.0000
Te1 Te 0.0000 0.0000 0.5000
Pd1 Pd 0.0000 0.5000 0.0000
Au1 Au 0.5000 0.5000 0.5000

=====

[3]
# RbTiPd2Au | Alexandria via LeMat-Bulk | PBE-GGA | relaxed
# - N(E_F): 1.470 states/eV/atom
# - Total magnetization: 0.00 μB per cell
# - Energy of formation: 608 meV/atom
data_RbTiPd2Au
_chemical_formula_sum 'Rb1 Ti1 Pd2 Au1'
_symmetry_space_group_name_H-M 'P 4/m m m'
_symmetry_Int_Tables_number 123
_symmetry_space_group_name_Hall '-P 4 2'
_cell_length_a 5.2639
_cell_length_b 5.2639
_cell_length_c 4.7712
_cell_angle_alpha 90.00
_cell_angle_beta 90.00
_cell_angle_gamma 90.00
loop_
_atom_site_label
_atom_site_type_symbol
_atom_site_fract_x
_atom_site_fract_y
_atom_site_fract_z
Rb1 Rb 0.0000 0.0000 0.0000
Ti1 Ti 0.5000 0.5000 0.0000
Pd1 Pd 0.0000 0.5000 0.5000
Au1 Au 0.5000 0.5000 0.5000

=====

[4]
# RbTlPdAu | Alexandria via LeMat-Bulk | PBE-GGA | relaxed
# - N(E_F): 0.346 states/eV/atom
# - Total magnetization: 0.00 μB per cell
# - Energy of formation: -176 meV/atom
data_RbTlPdAu
_chemical_formula_sum 'Rb2 Tl2 Pd2 Au2'
_symmetry_space_group_name_H-M 'C 1 m 1'
_symmetry_Int_Tables_number 8
_cell_length_a 8.3293
_cell_length_b 4.8396
_cell_length_c 6.7852
_cell_angle_alpha 90.00
_cell_angle_beta 114.15
_cell_angle_gamma 90.00
loop_
_symmetry_equiv_pos_as_xyz
'x,y,z'
'x,-y,z'
'x+1/2,y+1/2,z'
'x+1/2,-y+1/2,z'
loop_
_atom_site_label
_atom_site_type_symbol
_atom_site_fract_x
_atom_site_fract_y
_atom_site_fract_z
Rb1 Rb 0.0000 0.0000 0.0000
Tl1 Tl 0.4802 0.0000 0.4355
Pd1 Pd 0.3241 0.5000 0.4664
Au1 Au 0.1938 0.0000 0.5763

=====

[5]
# Rb2Tl4PdAu3 | Alexandria via LeMat-Bulk | PBE-GGA | relaxed
# - N(E_F): 0.331 states/eV/atom
# - Total magnetization: 0.00 μB per cell
# - Energy of formation: -153 meV/atom
data_Rb2Tl4PdAu3
_chemical_formula_sum 'Rb2 Tl4 Pd1 Au3'
_symmetry_space_group_name_H-M 'P -4 m 2'
_symmetry_Int_Tables_number 115
_cell_length_a 4.9873
_cell_length_b 4.9873
_cell_length_c 11.8715
_cell_angle_alpha 90.00
_cell_angle_beta 90.00
_cell_angle_gamma 90.00
loop_
_symmetry_equiv_pos_as_xyz
'x,y,z'
'y,-x,-z'
'-x,-y,z'
'-y,x,-z'
'-x,y,z'
'-y,-x,-z'
'x,-y,z'
'y,x,-z'
loop_
_atom_site_label
_atom_site_type_symbol
_atom_site_fract_x
_atom_site_fract_y
_atom_site_fract_z
Rb1 Rb 0.0000 0.5000 0.2357
Tl1 Tl 0.0000 0.0000 0.5000
Tl2 Tl 0.0000 0.5000 0.8842
Tl3 Tl 0.5000 0.5000 0.5000
Pd1 Pd 0.5000 0.5000 0.0000
Au1 Au 0.0000 0.0000 0.0000
Au2 Au 0.0000 0.5000 0.6403

=====

[6]
# Rb2Tl6PdAu | Alexandria via LeMat-Bulk | PBE-GGA | relaxed
# - N(E_F): 0.807 states/eV/atom
# - Total magnetization: 0.00 μB per cell
# - Energy of formation: -60 meV/atom
data_Rb2Tl6PdAu
_chemical_formula_sum 'Rb12 Tl36 Pd6 Au6'
_symmetry_space_group_name_H-M 'R -3 m'
_symmetry_Int_Tables_number 166
_symmetry_space_group_name_Hall '-R 3 2"'
_cell_length_a 7.6889
_cell_length_b 7.6889
_cell_length_c 38.8832
_cell_angle_alpha 90.00
_cell_angle_beta 90.00
_cell_angle_gamma 120.00
loop_
_atom_site_label
_atom_site_type_symbol
_atom_site_fract_x
_atom_site_fract_y
_atom_site_fract_z
Rb1 Rb 0.0000 0.0000 0.1071
Rb2 Rb 0.0000 0.0000 0.2795
Tl1 Tl 0.0465 0.5232 0.3015
Tl2 Tl 0.0460 0.5230 0.8646
Pd1 Pd 0.0000 0.0000 0.0000
Pd2 Pd 0.0000 0.0000 0.5000
Au1 Au 0.0000 0.0000 0.4257

=====

[7]
# RbZnPdAu2 | Alexandria via LeMat-Bulk | PBE-GGA | relaxed
# - N(E_F): 0.865 states/eV/atom
# - Total magnetization: 0.00 μB per cell
# - Energy of formation: 422 meV/atom
data_RbZnPdAu2
_chemical_formula_sum 'Rb1 Zn1 Pd1 Au2'
_symmetry_space_group_name_H-M 'P 4/m m m'
_symmetry_Int_Tables_number 123
_symmetry_space_group_name_Hall '-P 4 2'
_cell_length_a 5.2127
_cell_length_b 5.2127
_cell_length_c 5.9504
_cell_angle_alpha 90.00
_cell_angle_beta 90.00
_cell_angle_gamma 90.00
loop_
_atom_site_label
_atom_site_type_symbol
_atom_site_fract_x
_atom_site_fract_y
_atom_site_fract_z
Rb1 Rb 0.0000 0.0000 0.0000
Zn1 Zn 0.5000 0.5000 0.0000
Pd1 Pd 0.0000 0.0000 0.5000
Au1 Au 0.0000 0.5000 0.5000

=====

[8]
# RePd2Au | Alexandria via LeMat-Bulk | PBE-GGA | relaxed
# - Energy above the most stable polymorph in this dataset: 0.721 eV per atom
# - N(E_F): 1.236 states/eV/atom
# - Total magnetization: 4.99 μB per cell
# - Energy of formation: 746 meV/atom
data_RePd2Au
_chemical_formula_sum 'Re4 Pd8 Au4'
_symmetry_space_group_name_H-M 'I -4 2 d'
_symmetry_Int_Tables_number 122
_symmetry_space_group_name_Hall 'I -4 2bw'
_cell_length_a 7.1728
_cell_length_b 7.1728
_cell_length_c 5.4665
_cell_angle_alpha 90.00
_cell_angle_beta 90.00
_cell_angle_gamma 90.00
loop_
_atom_site_label
_atom_site_type_symbol
_atom_site_fract_x
_atom_site_fract_y
_atom_site_fract_z
Re1 Re 0.0000 0.0000 0.0000
Pd1 Pd 0.2266 0.2500 0.1250
Au1 Au 0.0000 0.0000 0.5000